7
Lattice="6.067 -1.859 0.000 6.067 1.859 0.000 -3.940 0.000 8.018" Properties=species:S:1:pos:R:3 comment="Er3Tm2Pt2 (GGA-PBE, relaxed)" formation_energy_ev_per_atom=-0.818 pbc="T T T"
Er 0.000 0.000 0.000
Er -0.326 0.000 3.490
Er 8.520 0.000 4.527
Tm 3.339 0.000 1.500
Tm 4.855 0.000 6.518
Pt 0.930 0.000 6.117
Pt 7.264 0.000 1.901

***

4
Lattice="3.833 0.000 0.000 0.000 3.833 0.000 0.000 0.000 9.017" Properties=species:S:1:pos:R:3 comment="Ac2TbCu (GGA-PBE, relaxed)" polymorph_energy_mev_per_atom=0 formation_energy_ev_per_atom=0.000 pbc="T T T"
Ac 0.000 0.000 1.859
Ac 0.000 0.000 7.159
Tb 1.916 1.916 4.509
Cu 1.916 1.916 0.000

***

3
Lattice="0.000 3.313 3.313 3.313 0.000 3.313 3.313 3.313 0.000" Properties=species:S:1:pos:R:3 comment="SrCuRu (GGA-PBE, relaxed)" polymorph_energy_mev_per_atom=1037 formation_energy_ev_per_atom=1.427 pbc="T T T"
Sr 0.000 0.000 0.000
Cu 4.970 4.970 4.970
Ru 1.657 1.657 1.657

***

6
Lattice="4.337 0.000 0.000 -0.353 4.569 0.000 -1.638 -0.128 4.900" Properties=species:S:1:pos:R:3 comment="LaBeZnHRhS (GGA-PBE, relaxed)" polymorph_energy_mev_per_atom=213 pbc="T T T"
La 0.000 0.000 0.000
Be 3.119 2.385 2.835
Zn 1.963 2.303 0.729
H 1.845 4.080 0.733
Rh 0.931 1.830 3.098
S 0.055 4.086 2.831

***

Number 1: theoretical density 11.29 g/cm3, raw total energy -40.44 eV per formula unit. Number 2: theoretical density 8.48 g/cm3, raw total energy -16.94 eV per formula unit. Number 3: theoretical density 5.76 g/cm3, raw total energy -10.77 eV per formula unit. Number 4: theoretical density 5.97 g/cm3, raw total energy -27.89 eV per formula unit.